{"formula": "Ac3Ag4Rh2", "functional": "GGA-PBE", "state": "relaxed", "lattice": [[5.389, -2.299, 0.000], [5.389, 2.299, 0.000], [-3.728, 0.000, 9.240]], "species": ["Ac", "Ac", "Ac", "Ag", "Ag", "Ag", "Ag", "Rh", "Rh"], "fractional_positions": [[0.000, 0.000, 0.000], [0.368, 0.368, 0.307], [0.632, 0.632, 0.693], [0.129, 0.129, 0.446], [0.280, 0.280, 0.941], [0.720, 0.720, 0.059], [0.871, 0.871, 0.554], [0.370, 0.370, 0.719], [0.630, 0.630, 0.281]], "energy_ev_per_atom": -4.565}